Record 1
PmHo2Ni9 | PBE-GGA | relaxed Values from VASP.

Cell and atoms, written as Quantum ESPRESSO input:
```
&SYSTEM
  ibrav = 0, nat = 12, ntyp = 3
/
ATOMIC_SPECIES
Ni 58.69 Ni.upf
Ho 164.93 Ho.upf
Pm 145.00 Pm.upf
CELL_PARAMETERS angstrom
-6.418 5.530 1.288
-4.542 4.438 5.754
-2.263 7.758 2.849
ATOMIC_POSITIONS angstrom
Ni -8.726 10.156 4.764
Ni -8.819 11.823 6.597
Ni -5.438 8.119 2.885
Ni -4.496 7.570 5.126
Ni -6.581 6.452 4.343
Ni -4.403 5.903 3.294
Ni -6.641 11.274 5.548
Ni -7.785 9.608 7.006
Ni -6.611 8.863 4.945
Ho -1.847 2.476 1.381
Ho -11.376 15.251 8.509
Pm 0.000 0.000 0.000
```

Values from the calculation:
Total magnetization (μB/cell): 0.87
Space group: R-3m
DFT total energy (eV per atom): -5.74
Theoretical density (g/cm3): 9.658

Record 2
K2Hg3Ge2Se8 | PBE-GGA | relaxed Values from VASP.

Cell and atoms, written as Quantum ESPRESSO input:
```
&SYSTEM
  ibrav = 0, nat = 30, ntyp = 4
/
ATOMIC_SPECIES
Se 78.96 Se.upf
K 39.10 K.upf
Ge 72.64 Ge.upf
Hg 200.59 Hg.upf
CELL_PARAMETERS angstrom
-5.566 -3.339 -2.026
4.329 -5.241 -0.162
-4.482 -4.303 19.403
ATOMIC_POSITIONS angstrom
Se -1.935 -3.274 1.655
Se -1.031 -8.300 13.524
Se 1.507 -5.191 -0.039
Se -4.779 -5.211 3.530
Se -7.312 -8.292 17.101
Se -5.154 -10.905 15.198
Se -1.391 -7.713 0.554
Se 0.354 -5.984 3.661
Se -2.941 -10.072 10.612
Se -6.163 -7.527 13.393
Se -1.930 -4.534 6.659
Se -5.362 -6.084 7.345
Se -3.378 -5.504 11.281
Se -3.609 -8.578 5.132
Se -0.443 -7.398 9.717
Se -3.379 -6.795 16.277
K -4.289 -5.772 0.254
K -5.636 -8.095 10.123
K -1.872 -10.181 16.178
K -0.525 -7.858 6.308
Ge 0.648 -6.863 1.501
Ge -5.337 -6.908 5.058
Ge -0.841 -9.159 11.344
Ge -6.825 -9.204 14.902
Hg -2.083 -4.260 4.075
Hg -2.638 -8.489 2.704
Hg -3.333 -6.528 13.674
Hg -0.663 -4.599 -1.173
Hg -4.015 -10.879 12.857
Hg -2.286 -2.460 9.623
```

Values from the calculation:
Space group: Aea2
DFT total energy (eV per atom): -3.19
Theoretical density (g/cm3): 5.185

Record 3
ZnS | PBE-GGA | relaxed Values from VASP.

Cell and atoms, written as Quantum ESPRESSO input:
```
&SYSTEM
  ibrav = 0, nat = 12, ntyp = 2
/
ATOMIC_SPECIES
S 32.06 S.upf
Zn 65.41 Zn.upf
CELL_PARAMETERS angstrom
3.877 0.000 0.000
-1.939 3.358 0.000
0.000 0.000 22.038
ATOMIC_POSITIONS angstrom
S 0.000 2.239 5.510
S 1.939 1.119 16.529
S 0.000 0.000 13.022
S 0.000 0.000 20.035
S 0.000 0.000 2.003
S 0.000 0.000 9.016
Zn 0.000 2.239 16.529
Zn 1.939 1.119 5.510
Zn 0.000 2.239 20.186
Zn 0.000 2.239 12.871
Zn 1.939 1.119 1.852
Zn 1.939 1.119 9.167
```

Values from the calculation:
Space group: P6_3/mmc
DFT total energy (eV per atom): -3.26
Theoretical density (g/cm3): 3.385

Record 4
TbTmGa5 | PBE-GGA | relaxed Values from VASP.

Cell and atoms, written as Quantum ESPRESSO input:
```
&SYSTEM
  ibrav = 0, nat = 7, ntyp = 3
/
ATOMIC_SPECIES
Ga 69.72 Ga.upf
Tm 168.93 Tm.upf
Tb 158.93 Tb.upf
CELL_PARAMETERS angstrom
4.227 0.000 0.000
0.000 4.227 0.000
0.000 0.000 8.277
ATOMIC_POSITIONS angstrom
Ga 2.114 0.000 2.138
Ga 2.114 2.114 0.000
Ga 0.000 2.114 6.139
Ga 2.114 0.000 6.139
Ga 0.000 2.114 2.138
Tm 0.000 0.000 4.138
Tb 0.000 0.000 0.000
```

Values from the calculation:
Total magnetization (μB/cell): 0.02
Space group: P4/mmm
DFT total energy (eV per atom): -3.88
Theoretical density (g/cm3): 7.595

Record 5
Cd2AsP3Os2 | PBE-GGA | relaxed Values from VASP.

Cell and atoms, written as Quantum ESPRESSO input:
```
&SYSTEM
  ibrav = 0, nat = 8, ntyp = 4
/
ATOMIC_SPECIES
As 74.92 As.upf
Cd 112.41 Cd.upf
P 30.97 P.upf
Os 190.23 Os.upf
CELL_PARAMETERS angstrom
2.179 6.472 -0.330
-2.712 5.723 2.575
2.742 -3.082 3.824
ATOMIC_POSITIONS angstrom
As 1.345 6.344 0.166
Cd 0.271 4.759 5.781
Cd -1.599 3.813 2.387
P -0.212 8.084 3.268
P 1.091 0.826 3.591
P 0.781 4.507 3.226
Os 2.064 2.708 2.862
Os 1.277 6.578 2.534
```

Values from the calculation:
Total magnetization (μB/cell): 0.00
Space group: C2
DFT total energy (eV per atom): -5.53
Theoretical density (g/cm3): 7.124

Record 6
SrLi3Tl2Cd2 | PBE-GGA | relaxed Values from VASP.

Cell and atoms, written as Quantum ESPRESSO input:
```
&SYSTEM
  ibrav = 0, nat = 8, ntyp = 4
/
ATOMIC_SPECIES
Cd 112.41 Cd.upf
Li 6.94 Li.upf
Tl 204.38 Tl.upf
Sr 87.62 Sr.upf
CELL_PARAMETERS angstrom
-5.205 3.515 0.069
-3.920 -2.196 -4.389
2.400 -3.851 5.624
ATOMIC_POSITIONS angstrom
Cd -4.445 -2.861 2.384
Cd -2.281 0.329 -1.079
Li -3.041 -2.695 -0.463
Li -3.684 0.163 1.768
Li -4.242 -0.767 -3.273
Tl -5.643 -0.937 -0.426
Tl -1.082 -1.595 1.731
Sr -4.883 2.086 -1.046
```

Values from the calculation:
Space group: C2/m
DFT total energy (eV per atom): -1.88
Theoretical density (g/cm3): 6.347

Please write out number 2 again, unchanged.
K2Hg3Ge2Se8 | PBE-GGA | relaxed Values from VASP.

Cell and atoms, written as Quantum ESPRESSO input:
```
&SYSTEM
  ibrav = 0, nat = 30, ntyp = 4
/
ATOMIC_SPECIES
Se 78.96 Se.upf
K 39.10 K.upf
Ge 72.64 Ge.upf
Hg 200.59 Hg.upf
CELL_PARAMETERS angstrom
-5.566 -3.339 -2.026
4.329 -5.241 -0.162
-4.482 -4.303 19.403
ATOMIC_POSITIONS angstrom
Se -1.935 -3.274 1.655
Se -1.031 -8.300 13.524
Se 1.507 -5.191 -0.039
Se -4.779 -5.211 3.530
Se -7.312 -8.292 17.101
Se -5.154 -10.905 15.198
Se -1.391 -7.713 0.554
Se 0.354 -5.984 3.661
Se -2.941 -10.072 10.612
Se -6.163 -7.527 13.393
Se -1.930 -4.534 6.659
Se -5.362 -6.084 7.345
Se -3.378 -5.504 11.281
Se -3.609 -8.578 5.132
Se -0.443 -7.398 9.717
Se -3.379 -6.795 16.277
K -4.289 -5.772 0.254
K -5.636 -8.095 10.123
K -1.872 -10.181 16.178
K -0.525 -7.858 6.308
Ge 0.648 -6.863 1.501
Ge -5.337 -6.908 5.058
Ge -0.841 -9.159 11.344
Ge -6.825 -9.204 14.902
Hg -2.083 -4.260 4.075
Hg -2.638 -8.489 2.704
Hg -3.333 -6.528 13.674
Hg -0.663 -4.599 -1.173
Hg -4.015 -10.879 12.857
Hg -2.286 -2.460 9.623
```

Values from the calculation:
Space group: Aea2
DFT total energy (eV per atom): -3.19
Theoretical density (g/cm3): 5.185

Look up the DFT total energy of the first one. -5.74 eV per atom

Which formula does entry 3 have? ZnS